No. 1
Below is a geometry-optimized TaFeCu structure, with properties calculated at the GGA-PBE level.

```
3
Lattice="6.091 -0.020 0.000 4.906 3.611 0.000 -5.498 -1.795 1.910" Properties=species:S:1:pos:R:3 pbc="T T T"
Cu 10.896 3.557 0.000
Ta 7.328 2.393 0.000
Fe 3.770 1.231 0.000
```

Summary:
E above lowest polymorph, eV/atom: 0.1291
Calculated formation energy, eV/atom: 0.16



No. 2
Below is a geometry-optimized Li8AsP2 structure, with properties calculated at the GGA-PBE level.

```
11
Lattice="-0.108 -3.821 -1.718 5.818 -0.843 1.513 -4.645 -0.103 5.622" Properties=species:S:1:pos:R:3 pbc="T T T"
Li 0.218 -4.195 2.345
P -1.149 -2.231 3.173
Li -3.251 -2.827 4.624
Li -0.242 -3.262 5.406
P 2.343 -3.700 1.104
Li 1.790 -2.606 3.824
Li -2.426 -3.814 1.661
As 1.305 -1.434 6.354
Li -1.629 -1.048 5.682
Li 3.973 -2.023 2.388
Li 0.814 -1.563 1.565
```

Summary:
E above lowest polymorph, eV/atom: 0.0039
Calculated formation energy, eV/atom: -0.64



No. 3
Below is a geometry-optimized Ac3La3NdTe8 structure, with properties calculated at the GGA-PBE level.

```
15
Lattice="-0.996 -9.080 -1.343 5.401 4.935 -5.633 2.710 -1.595 8.769" Properties=species:S:1:pos:R:3 pbc="T T T"
Te 7.131 1.464 0.577
La 0.857 -5.337 3.713
Te 4.448 -0.987 3.376
Nd 1.355 -0.797 4.385
Ac 2.202 -2.073 -3.488
Te -0.016 -7.204 1.216
Te 3.187 -0.214 -0.916
Ac 0.000 0.000 0.000
La 4.055 1.670 1.568
Te 2.666 -4.752 -1.582
Te 0.479 -2.693 1.883
La 3.557 -2.870 0.897
Te 6.636 -3.046 -0.090
Te 3.928 -5.526 2.709
Ac 2.700 2.467 -2.816
```

Summary:
Total energy, eV/atom: -5.35



No. 4
Below is a geometry-optimized Ca3CdI8 structure, with properties calculated at the GGA-PBE level.

```
12
Lattice="8.964 0.000 0.000 -4.482 6.362 -4.452 0.000 0.115 9.358" Properties=species:S:1:pos:R:3 pbc="T T T"
I 2.309 6.340 -2.293
I 0.000 3.063 -0.001
I 2.173 0.136 7.199
I 0.000 3.332 4.927
Ca -2.241 3.181 -2.226
Ca 4.482 0.000 0.000
I 4.482 3.144 -0.020
I -2.309 6.340 -2.293
I 4.482 3.413 4.907
I 6.790 0.136 7.199
Ca 2.241 3.181 -2.226
Cd 0.000 0.000 0.000
```

Summary:
Total energy, eV/atom: -2.96



No. 5
Below is a geometry-optimized CaDy2Tm structure, with properties calculated at the GGA-PBE level.

```
4
Lattice="3.524 0.000 0.000 1.762 3.052 0.000 1.762 1.017 12.494" Properties=species:S:1:pos:R:3 pbc="T T T"
Dy 1.762 1.017 9.049
Ca 0.000 0.000 0.000
Dy 5.287 3.052 3.445
Tm 3.524 2.035 6.247
```

Summary:
E above lowest polymorph, eV/atom: 0.0954
Calculated formation energy, eV/atom: 0.16



No. 6
Below is a geometry-optimized TiGaIr structure, with properties calculated at the GGA-PBE level.

```
12
Lattice="5.482 0.000 0.000 0.000 5.482 0.000 0.000 0.000 8.197" Properties=species:S:1:pos:R:3 pbc="T T T"
Ir 2.793 2.689 2.049
Ti 1.820 1.820 4.099
Ga 1.693 1.693 0.000
Ti 4.561 0.921 2.049
Ir 5.430 5.430 0.000
Ga 3.789 3.789 4.099
Ti 3.662 3.662 0.000
Ga 1.048 4.434 2.049
Ga 4.434 1.048 6.148
Ir 0.052 0.052 4.099
Ir 2.689 2.793 6.148
Ti 0.921 4.561 6.148
```

Summary:
Calculated formation energy, eV/atom: -0.07



No. 7
Below is a geometry-optimized LiDyScGa structure, with properties calculated at the GGA-PBE level.

```
4
Lattice="4.940 0.000 0.000 2.470 4.278 0.000 2.470 1.426 4.034" Properties=species:S:1:pos:R:3 pbc="T T T"
Dy 0.000 0.000 0.000
Li 7.410 4.278 3.025
Sc 4.940 2.852 2.017
Ga 2.470 1.426 1.008
```

Summary:
Calculated formation energy, eV/atom: -0.32



No. 8
Below is a geometry-optimized Co6CuNi8 structure, with properties calculated at the GGA-PBE level.

```
15
Lattice="2.482 0.000 0.000 0.000 9.029 0.000 0.000 -4.514 7.819" Properties=species:S:1:pos:R:3 pbc="T T T"
Co 1.847 -1.311 3.699
Ni 0.572 2.283 0.629
Cu 1.241 0.000 0.000
Ni 1.882 4.514 2.606
Ni 1.911 2.231 7.191
Co 1.847 -0.655 7.105
Ni 0.572 3.917 5.528
Ni 0.601 0.000 5.213
Ni 1.911 0.597 2.291
Co 0.635 5.825 4.120
Ni 0.572 7.343 1.663
Co 0.635 2.548 2.985
Co 0.635 5.170 0.714
Co 1.847 1.966 4.834
Ni 1.911 -2.829 6.156
```

Summary:
Calculated formation energy, eV/atom: 0.25



No. 9
Below is a geometry-optimized ScTa2Cd structure, with properties calculated at the GGA-PBE level.

```
4
Lattice="-2.360 0.103 2.329 -2.553 -3.051 -2.452 2.237 -3.830 2.436" Properties=species:S:1:pos:R:3 pbc="T T T"
Sc -0.158 -3.440 -0.008
Cd -0.061 -1.863 2.382
Ta -2.456 -1.474 -0.062
Ta 0.000 0.000 0.000
```

Summary:
Calculated formation energy, eV/atom: 0.18



No. 10
Below is a geometry-optimized Tm6ThSc4 structure, with properties calculated at the GGA-PBE level.

```
22
Lattice="5.445 0.000 0.000 -2.723 4.690 0.000 0.000 0.000 24.598" Properties=species:S:1:pos:R:3 pbc="T T T"
Sc 0.000 4.625 9.267
Tm 2.723 0.000 12.299
Sc 2.723 0.065 15.331
Tm 0.000 1.499 4.410
Tm 0.000 1.616 22.223
Sc 2.723 3.147 13.327
Tm 0.000 4.622 6.150
Th 2.723 3.064 6.150
Tm 2.723 3.074 2.375
Tm 2.723 0.068 18.449
Sc 0.000 1.543 1.028
Tm 0.000 1.499 7.889
Tm 2.723 3.074 9.924
Th 0.000 1.626 18.449
Sc 0.000 4.625 3.032
Tm 2.723 0.000 0.000
Tm 2.723 3.191 16.709
Tm 0.000 1.616 14.674
Sc 0.000 1.543 11.271
Sc 2.723 3.147 23.570
Sc 2.723 0.065 21.566
Tm 2.723 3.191 20.188
```

Summary:
E above lowest polymorph, eV/atom: 0.0000
Calculated formation energy, eV/atom: 0.13



No. 11
Below is a geometry-optimized SrTcH3 structure, with properties calculated at the GGA-PBE level.

```
5
Lattice="4.112 0.000 0.000 0.000 4.112 0.000 0.000 0.000 4.112" Properties=species:S:1:pos:R:3 pbc="T T T"
Sr 0.000 0.000 0.000
H 0.000 2.056 0.000
Tc 2.056 2.056 2.056
H 2.056 0.000 0.000
H 0.000 0.000 2.056
```

Summary:
E above lowest polymorph, eV/atom: 1.5036



No. 12
Below is a geometry-optimized Tb3CO2 structure, with properties calculated at the GGA-PBE level.

```
12
Lattice="-4.232 -4.253 -0.975 4.993 -3.414 -0.428 -1.835 2.041 5.407" Properties=species:S:1:pos:R:3 pbc="T T T"
Tb -3.975 -4.157 0.770
O 0.090 -5.223 0.318
Tb -0.752 -2.915 0.311
Tb 2.901 -1.469 3.233
C 1.087 -2.203 1.761
Tb -0.323 -2.711 3.692
C -2.162 -3.424 2.242
O -4.435 -1.607 4.185
Tb 2.496 -1.707 -0.214
O 3.361 -4.019 -0.182
O -1.165 -0.403 3.686
Tb -3.033 -1.106 2.216
```

Summary:
Total energy, eV/atom: -7.66



- Which formula does entry 10 have?
  Tm6ThSc4